Compound: Nd2BiSe
Source: Alexandria
Functional: GGA-PBE
Structure: optimized geometry

Summary:
Symmetry: No. 166
Offset from the most stable computed form (eV per atom): 0.000
Energy relative to the elements, uncorrected (meV per atom): -1373.7

```
4
Lattice="4.424 0.000 -0.002 -2.211 3.832 0.002 -2.204 -1.282 7.229" Properties=species:S:1:pos:R:3 pbc="T T T"
Nd 0.002 2.554 1.668
Nd 0.007 -0.004 5.561
Bi -2.207 1.275 3.616
Se 2.220 -1.282 7.227
```



Compound: Tl16Cd12Sn
Source: Alexandria
Functional: GGA-PBE
Structure: optimized geometry

Summary:
Energy relative to the elements (eV per formula unit): 0.76
Symmetry: No. 8

```
29
Lattice="-8.747 -3.340 3.848 1.051 -3.553 -9.420 7.736 -3.332 5.766" Properties=species:S:1:pos:R:3 pbc="T T T"
Tl -5.600 -2.141 2.467
Tl 0.676 -2.278 -6.032
Tl 3.749 -3.746 -4.115
Tl 7.731 -3.334 5.762
Tl -0.051 -3.568 0.019
Tl -2.807 -3.735 -4.750
Tl 0.386 -4.639 -3.571
Tl 1.772 -3.582 5.422
Tl -3.369 -4.557 1.516
Tl -5.422 -3.678 -1.208
Tl 5.016 -2.191 3.739
Tl -2.886 -3.602 4.870
Tl -0.292 -5.062 3.067
Tl 2.989 -4.467 2.279
Tl 5.648 -3.666 0.173
Tl 2.768 -5.128 -1.075
Cd -4.799 -6.224 -3.444
Cd -5.748 -5.151 4.172
Cd 1.467 -7.179 1.199
Cd -0.615 -6.098 6.072
Cd -1.601 -7.187 0.858
Cd 0.239 -7.227 -1.633
Cd 6.510 -5.225 3.045
Cd -0.732 -5.310 -6.913
Cd 5.528 -6.231 -2.246
Cd 4.746 -5.187 5.434
Cd -6.903 -5.176 1.443
Cd 2.216 -5.324 -6.612
Sn -2.358 -5.378 -1.655
```



Compound: Fe3PtAu
Source: Alexandria
Functional: GGA-PBE
Structure: optimized geometry

Summary:
Energy relative to the elements (eV per formula unit): 5.29
Symmetry: No. 221
Offset from the most stable computed form (eV per atom): 0.000

```
5
Lattice="4.672 0.000 0.000 0.000 4.672 0.000 0.000 0.000 4.672" Properties=species:S:1:pos:R:3 pbc="T T T"
Pt 0.000 0.000 0.000
Fe 2.336 0.000 0.000
Fe 0.000 0.000 2.336
Fe 0.000 2.336 0.000
Au 2.336 2.336 2.336
```



Compound: Dy3Sn3Ir2
Source: Alexandria
Functional: GGA-PBE
Structure: optimized geometry

Summary:
Energy relative to the elements (eV per formula unit): -5.95
Symmetry: No. 62

```
32
Lattice="-5.412 1.023 1.859 -2.822 -0.550 -7.913 -2.210 -15.028 1.832" Properties=species:S:1:pos:R:3 pbc="T T T"
Sn -4.255 -0.052 -1.251
Sn -5.974 -10.800 0.029
Sn -8.666 -10.833 -3.488
Sn -1.777 -3.722 -0.735
Sn -7.169 -0.043 -4.692
Sn -4.470 -3.755 -4.252
Sn -5.211 -6.552 -0.458
Sn -5.233 -8.003 -3.764
Sn -6.189 -14.503 -2.971
Sn -3.275 -14.512 0.469
Sn -2.319 -8.012 -0.324
Sn -8.125 -6.543 -3.899
Dy -5.705 -5.952 -6.234
Dy -2.771 -5.965 -2.800
Dy -4.952 -3.284 -0.967
Dy -7.673 -8.590 -1.422
Dy -4.738 -8.603 2.011
Dy -8.279 -12.714 -0.919
Dy -2.164 -1.842 -3.303
Dy -7.547 -3.335 -4.517
Dy -5.099 -1.829 -6.737
Dy -2.896 -11.220 0.295
Dy -5.492 -11.271 -3.255
Dy -5.345 -12.727 2.514
Ir -4.510 -9.050 -1.457
Ir -5.250 -13.709 -5.349
Ir -5.325 -1.363 -3.270
Ir -4.640 -9.567 -5.854
Ir -5.119 -13.192 -0.952
Ir -5.934 -5.505 -2.765
Ir -5.194 -0.846 1.126
Ir -5.803 -4.988 1.631
```



Compound: MgIr2Ru
Source: Alexandria
Functional: GGA-PBE
Structure: optimized geometry

Summary:
Energy relative to the elements (eV per formula unit): 0.04
Symmetry: No. 123

```
4
Lattice="-3.106 -0.491 2.232 -0.012 -3.818 -0.857 2.319 -0.697 3.074" Properties=species:S:1:pos:R:3 pbc="T T T"
Mg -1.559 -2.155 0.687
Ir 1.154 -2.257 1.108
Ir 0.000 0.000 0.000
Ru -0.393 -0.594 2.653
```



Compound: NpTlCo2Cl8
Source: Alexandria
Functional: GGA-PBE
Structure: optimized geometry

Summary:
Symmetry: No. 148
Energy relative to the elements, uncorrected (meV per atom): -1006.7

```
12
Lattice="-5.682 -2.407 1.770 -2.043 -5.558 -2.478 1.751 -7.500 7.065" Properties=species:S:1:pos:R:3 pbc="T T T"
Cl -3.232 -7.167 -0.665
Cl -6.313 -6.905 1.335
Cl -2.229 -11.189 4.799
Cl -0.533 -4.942 3.210
Cl -3.745 -4.276 1.558
Cl 0.340 -8.560 5.022
Cl -2.741 -8.298 7.022
Cl -5.440 -10.523 3.148
Co -1.501 -3.858 1.577
Co -4.473 -11.607 4.781
Np 0.000 0.000 0.000
Tl -2.987 -7.732 3.179
```



Compound: PrYCrN4
Source: Alexandria
Functional: GGA-PBE
Structure: optimized geometry

Summary:
Symmetry: No. 11
Energy relative to the elements, uncorrected (meV per atom): -1086.0

```
14
Lattice="-1.350 -1.160 -5.308 0.434 -5.401 1.070 -5.795 0.262 3.674" Properties=species:S:1:pos:R:3 pbc="T T T"
Cr -4.919 -2.049 -1.220
Cr -1.792 -4.250 0.656
N -5.534 -1.778 0.397
N -5.411 -3.598 -1.866
N -1.177 -4.521 -0.961
N -5.623 -0.956 -2.389
N -3.494 -4.386 0.660
N -3.217 -1.913 -1.224
N -1.300 -2.701 1.302
N -1.088 -5.343 1.825
Pr -6.060 -4.644 0.396
Pr -0.651 -1.654 -0.959
Y -3.422 -4.852 -1.720
Y -3.289 -1.447 1.156
```



Compound: Ba2NaBeIr
Source: Alexandria
Functional: GGA-PBE
Structure: optimized geometry

Summary:
Energy relative to the elements (eV per formula unit): 2.80
Symmetry: No. 123

```
5
Lattice="-2.548 -5.257 -1.142 -0.696 -0.832 5.384 -5.326 2.643 -0.280" Properties=species:S:1:pos:R:3 pbc="T T T"
Ir 0.000 0.000 0.000
Ba -2.663 1.321 -0.140
Ba -1.274 -2.628 -0.571
Na -0.348 -0.416 2.692
Be -4.285 -1.723 1.981
```



Compound: Cs4Rb3BeF8
Source: Alexandria
Functional: GGA-PBE
Structure: optimized geometry

Summary:
Symmetry: No. 12
Energy relative to the elements, uncorrected (meV per atom): -2448.9

```
16
Lattice="8.161 0.000 0.000 0.000 8.203 -0.023 -4.081 -4.110 6.199" Properties=species:S:1:pos:R:3 pbc="T T T"
Cs 2.040 -2.055 3.100
Cs 0.000 0.000 0.000
Cs 4.081 0.000 0.000
Cs -2.040 -2.055 3.100
F 4.081 3.996 2.993
F 0.000 0.096 3.183
F 0.000 3.973 3.434
F 4.081 0.120 2.742
F 6.969 5.291 -0.007
F 1.192 5.291 -0.007
F -2.889 -1.198 6.183
F 2.889 -1.198 6.183
Rb 4.081 4.102 -0.012
Rb -2.040 2.046 3.088
Rb 2.040 2.046 3.088
Be 0.000 4.102 -0.012
```



Compound: Dy8TlAg2
Source: Alexandria
Functional: GGA-PBE
Structure: optimized geometry

Summary:
Energy relative to the elements (eV per formula unit): -0.49
Symmetry: No. 12
Offset from the most stable computed form (eV per atom): 0.107

```
11
Lattice="5.450 -0.188 -0.282 -1.173 8.257 -0.460 -1.173 -3.605 7.443" Properties=species:S:1:pos:R:3 pbc="T T T"
Dy 3.035 4.899 4.336
Dy 3.035 2.115 6.191
Dy 0.069 2.350 0.510
Dy 1.552 5.456 1.203
Dy 1.552 -0.992 5.498
Dy 2.864 1.715 2.575
Dy 0.240 2.749 4.126
Dy 0.069 -0.435 2.365
Ag -1.173 0.000 5.041
Ag -1.173 4.652 1.941
Tl 2.725 -0.094 -0.141
```



VASP energy / eV/cell: -22.40 -52.08 -29.41 -197.96 -28.55 -56.37 -123.54 -14.95 -64.20 -45.38